Entry from Alexandria via LeMat-Bulk: a geometry-optimized NpF3 structure (PBE-GGA).

Its raw formation energy is -3424 meV per atom. Its total energy is -8.06 eV per atom.

It has space group Cmcm (No. 63), with a = 3.866 Å, b = 8.271 Å, c = 7.251 Å, α = 90.00°, β = 90.00° and γ = 90.00°. Symmetry generates all atoms from Np at (0.000, 0.226, 0.250), F at (0.000, 0.057, 0.750) and F at (0.000, 0.342, 0.563).


Entry from Alexandria via LeMat-Bulk: a geometry-optimized NpF5 structure (PBE-GGA).

Its raw formation energy is -3270 meV per atom. For the energy above the most stable polymorph in this dataset, the calculation gives 0.0 meV/atom. Its total energy is -6.99 eV per atom.

It has space group I4/m (No. 87), with a = 6.872 Å, b = 6.872 Å, c = 4.496 Å, α = 90.00°, β = 90.00° and γ = 90.00°. Symmetry generates all atoms from Np at (0.000, 0.000, 0.000), F at (0.000, 0.000, 0.500) and F at (0.101, 0.276, 0.000).


Entry from Alexandria via LeMat-Bulk: a geometry-optimized NpF3 structure (PBE-GGA).

Its raw formation energy is -3356 meV per atom. Its total energy is -7.99 eV per atom.

It has space group Cmcm (No. 63), with a = 7.196 Å, b = 8.474 Å, c = 3.935 Å, α = 90.00°, β = 90.00° and γ = 90.00°. Symmetry generates all atoms from Np at (0.000, 0.226, 0.250), F at (0.000, 0.076, 0.750) and F at (0.180, 0.348, 0.750).


Entry from Alexandria via LeMat-Bulk: a geometry-optimized NpF3 structure (PBE-GGA).

Its raw formation energy is -3414 meV per atom. Its total energy is -8.05 eV per atom.

It has space group P6_3/mmc (No. 194), with a = 4.1494 Å, b = 4.1494 Å, c = 7.2807 Å, α = 90.00°, β = 90.00° and γ = 120.00°. Symmetry generates all atoms from Np at (0.3333, 0.6667, 0.2500), F at (0.0000, 0.0000, 0.2500) and F at (0.3333, 0.6667, 0.5790).